Compound: MgTcSb2
Source: Alexandria
Functional: GGA-PBE
Structure: optimized geometry

Output
Crystal system: tetragonal
Energy above the most stable polymorph in this dataset (kcal/mol of atoms): 7.43
Formation energy (no corrections) (eV per atom): 0.31

a b c (Å): 5.607 5.607 5.607
angles (deg): 136.55 136.55 63.13
Atoms (fractional coordinates):
Mg1 0.750 0.250 0.500
Sb1 0.000 0.000 0.000
Sb2 0.250 0.750 0.500
Tc1 0.500 0.500 0.000

Compound: Ba2ScPd2
Source: Alexandria
Functional: GGA-PBE
Structure: optimized geometry

Output
Crystal system: tetragonal
Calculated formation energy (eV/atom): -0.356

a b c (Å): 7.684 7.684 4.961
angles (deg): 90.00 90.00 90.00
Atoms (fractional coordinates):
Sc1 0.000 0.000 0.000
Sc2 0.500 0.500 0.000
Ba1 0.169 0.669 0.500
Ba2 0.669 0.831 0.500
Ba3 0.831 0.331 0.500
Ba4 0.331 0.169 0.500
Pd1 0.362 0.862 0.000
Pd2 0.862 0.638 0.000
Pd3 0.638 0.138 0.000
Pd4 0.138 0.362 0.000

Compound: AgSb
Source: Alexandria
Functional: GGA-PBE
Structure: optimized geometry

Output
Crystal system: hexagonal
Energy above the most stable polymorph in this dataset (kcal/mol of atoms): 0.52
Formation energy (no corrections) (eV per atom): 0.10

a b c (Å): 4.448 4.448 5.674
angles (deg): 90.00 90.00 120.00
Atoms (fractional coordinates):
Sb1 0.333 0.667 0.250
Sb2 0.667 0.333 0.750
Ag1 0.000 0.000 0.000
Ag2 0.000 0.000 0.500